[1]
CoIrPb2: optimized geometry, GGA-PBE.

Cell and atoms, written as CIF:
```
data_CoIrPb2
_symmetry_space_group_name_H-M 'C 1 2/m 1'
_symmetry_Int_Tables_number 12
_symmetry_space_group_name_Hall '-C 2y'
_cell_length_a 8.493
_cell_length_b 3.284
_cell_length_c 5.773
_cell_angle_alpha 90.00
_cell_angle_beta 103.35
_cell_angle_gamma 90.00
loop_
_atom_site_label
_atom_site_fract_x
_atom_site_fract_y
_atom_site_fract_z
Co1 0.000 0.000 0.000
Ir1 0.000 0.500 0.500
Pb1 0.246 0.500 0.243
```

Results
The density of states at the Fermi level comes out at 5.10 states/eV/f.u. The size of the total moment is 0.30 μB per atom. The energy of formation from the pure elements comes out at 0.617 eV/atom. Its crystal system is monoclinic.

[2]
CoIrPb2: optimized geometry, GGA-PBE.

Cell and atoms, written as CIF:
```
data_CoIrPb2
_symmetry_space_group_name_H-M 'R 3 m'
_symmetry_Int_Tables_number 160
_symmetry_space_group_name_Hall 'R 3 -2"'
_cell_length_a 3.1246
_cell_length_b 3.1246
_cell_length_c 30.9488
_cell_angle_alpha 90.00
_cell_angle_beta 90.00
_cell_angle_gamma 120.00
loop_
_atom_site_label
_atom_site_fract_x
_atom_site_fract_y
_atom_site_fract_z
Co1 0.0000 0.0000 0.0000
Ir1 0.0000 0.0000 0.2756
Pb1 0.0000 0.0000 0.5316
Pb2 0.0000 0.0000 0.7409
```

Results
The density of states at the Fermi level comes out at 4.71 states/eV/f.u. The size of the total moment is 0.55 μB per atom. The energy of formation from the pure elements comes out at 0.524 eV/atom. Its crystal system is trigonal.

[3]
CoIrPb2: optimized geometry, GGA-PBE.

Cell and atoms, written as CIF:
```
data_CoIrPb2
_symmetry_space_group_name_H-M 'P 4 m m'
_symmetry_Int_Tables_number 99
_symmetry_space_group_name_Hall 'P 4 -2'
_cell_length_a 3.225
_cell_length_b 3.225
_cell_length_c 8.251
_cell_angle_alpha 90.00
_cell_angle_beta 90.00
_cell_angle_gamma 90.00
loop_
_atom_site_label
_atom_site_fract_x
_atom_site_fract_y
_atom_site_fract_z
Co1 0.000 0.000 0.000
Ir1 0.500 0.500 0.143
Pb1 0.000 0.000 0.379
Pb2 0.500 0.500 0.775
```

Results
The density of states at the Fermi level comes out at 3.46 states/eV/f.u. The size of the total moment is 0.58 μB per atom. The energy of formation from the pure elements comes out at 0.301 eV/atom. Its crystal system is tetragonal.

[4]
CoIrPb3: optimized geometry, GGA-PBE.

Cell and atoms, written as CIF:
```
data_CoIrPb3
_symmetry_space_group_name_H-M 'P m -3 m'
_symmetry_Int_Tables_number 221
_symmetry_space_group_name_Hall '-P 4 2 3'
_cell_length_a 4.940
_cell_length_b 4.940
_cell_length_c 4.940
_cell_angle_alpha 90.00
_cell_angle_beta 90.00
_cell_angle_gamma 90.00
loop_
_atom_site_label
_atom_site_fract_x
_atom_site_fract_y
_atom_site_fract_z
Co1 0.000 0.000 0.000
Ir1 0.500 0.500 0.500
Pb1 0.000 0.000 0.500
```

Results
The density of states at the Fermi level comes out at 1.44 states/eV/f.u. The size of the total moment is 0.00 μB per atom. The energy of formation from the pure elements comes out at 0.777 eV/atom. Its crystal system is cubic.

[5]
CoIrPb2: optimized geometry, GGA-PBE.

Cell and atoms, written as CIF:
```
data_CoIrPb2
_symmetry_space_group_name_H-M 'P 1 2/m 1'
_symmetry_Int_Tables_number 10
_symmetry_space_group_name_Hall '-P 2y'
_cell_length_a 3.378
_cell_length_b 3.386
_cell_length_c 6.680
_cell_angle_alpha 90.00
_cell_angle_beta 91.63
_cell_angle_gamma 90.00
loop_
_atom_site_label
_atom_site_fract_x
_atom_site_fract_y
_atom_site_fract_z
Co1 0.000 0.000 0.000
Ir1 0.000 0.000 0.500
Pb1 0.494 0.500 0.245
```

Results
The density of states at the Fermi level comes out at 2.14 states/eV/f.u. The size of the total moment is 0.44 μB per atom. The energy of formation from the pure elements comes out at 0.571 eV/atom. Its crystal system is monoclinic.

[6]
CoIrPb2: optimized geometry, GGA-PBE.

Cell and atoms, written as CIF:
```
data_CoIrPb2
_symmetry_space_group_name_H-M 'F -4 3 m'
_symmetry_Int_Tables_number 216
_symmetry_space_group_name_Hall 'F -4 2 3'
_cell_length_a 6.845
_cell_length_b 6.845
_cell_length_c 6.845
_cell_angle_alpha 90.00
_cell_angle_beta 90.00
_cell_angle_gamma 90.00
loop_
_atom_site_label
_atom_site_fract_x
_atom_site_fract_y
_atom_site_fract_z
Co1 0.000 0.000 0.000
Ir1 0.250 0.250 0.250
Pb1 0.000 0.000 0.500
Pb2 0.250 0.250 0.750
```

Results
The density of states at the Fermi level comes out at 6.66 states/eV/f.u. The size of the total moment is 0.43 μB per atom. The energy of formation from the pure elements comes out at 0.776 eV/atom. Its crystal system is cubic.

[7]
CoIr2Pb: optimized geometry, GGA-PBE.

Cell and atoms, written as CIF:
```
data_CoIr2Pb
_symmetry_space_group_name_H-M 'P m m m'
_symmetry_Int_Tables_number 47
_symmetry_space_group_name_Hall '-P 2 2'
_cell_length_a 2.930
_cell_length_b 4.685
_cell_length_c 4.701
_cell_angle_alpha 90.00
_cell_angle_beta 90.00
_cell_angle_gamma 90.00
loop_
_atom_site_label
_atom_site_fract_x
_atom_site_fract_y
_atom_site_fract_z
Co1 0.000 0.000 0.000
Ir1 0.000 0.500 0.500
Ir2 0.500 0.500 0.000
Pb1 0.500 0.000 0.500
```

Results
The density of states at the Fermi level comes out at 5.96 states/eV/f.u. The size of the total moment is 0.43 μB per atom. The energy of formation from the pure elements comes out at 0.576 eV/atom. Its crystal system is orthorhombic.

[8]
CoIrPb2: optimized geometry, GGA-PBE.

Cell and atoms, written as CIF:
```
data_CoIrPb2
_symmetry_space_group_name_H-M 'F m -3 m'
_symmetry_Int_Tables_number 225
_symmetry_space_group_name_Hall '-F 4 2 3'
_cell_length_a 6.738
_cell_length_b 6.738
_cell_length_c 6.738
_cell_angle_alpha 90.00
_cell_angle_beta 90.00
_cell_angle_gamma 90.00
loop_
_atom_site_label
_atom_site_fract_x
_atom_site_fract_y
_atom_site_fract_z
Co1 0.000 0.000 0.000
Ir1 0.000 0.000 0.500
Pb1 0.250 0.250 0.250
```

Results
The density of states at the Fermi level comes out at 2.48 states/eV/f.u. The size of the total moment is 0.42 μB per atom. The energy of formation from the pure elements comes out at 0.544 eV/atom. Its crystal system is cubic.